Computed, not measured: KTmZnBr6 after structural relaxation at the PBE-GGA level of DFT.

Computed properties:
SG: P-31c

Structure (CIF):
```
data_KTmZnBr6
_cell_length_a 7.038
_cell_length_b 7.038
_cell_length_c 14.727
_cell_angle_alpha 90.00
_cell_angle_beta 90.00
_cell_angle_gamma 120.00
_space_group_name_H-M_alt 'P 1'
_space_group_IT_number 1
loop_
_space_group_symop_operation_xyz
'x,y,z'
loop_
_atom_site_label
_atom_site_type_symbol
_atom_site_fract_x
_atom_site_fract_y
_atom_site_fract_z
Tm1 Tm 0.333 0.667 0.250
Tm2 Tm 0.667 0.333 0.750
Zn1 Zn 0.667 0.333 0.250
Zn2 Zn 0.333 0.667 0.750
Br1 Br 0.012 0.635 0.856
Br2 Br 0.635 0.012 0.356
Br3 Br 0.012 0.377 0.644
Br4 Br 0.377 0.365 0.356
Br5 Br 0.988 0.623 0.356
Br6 Br 0.365 0.988 0.644
Br7 Br 0.623 0.635 0.644
Br8 Br 0.377 0.012 0.144
Br9 Br 0.635 0.623 0.144
Br10 Br 0.988 0.365 0.144
Br11 Br 0.623 0.988 0.856
Br12 Br 0.365 0.377 0.856
K1 K 0.000 0.000 0.000
K2 K 0.000 0.000 0.500
```

Computed, not measured: KUBr5 after structural relaxation at the PBE-GGA level of DFT.

Computed properties:
SG: C2/c

Structure (CIF):
```
data_KUBr5
_cell_length_a 7.895
_cell_length_b 7.895
_cell_length_c 11.329
_cell_angle_alpha 70.03
_cell_angle_beta 70.03
_cell_angle_gamma 68.71
_space_group_name_H-M_alt 'P 1'
_space_group_IT_number 1
loop_
_space_group_symop_operation_xyz
'x,y,z'
loop_
_atom_site_label
_atom_site_type_symbol
_atom_site_fract_x
_atom_site_fract_y
_atom_site_fract_z
K1 K 0.461 0.539 0.750
K2 K 0.539 0.461 0.250
U1 U 0.000 0.000 0.000
U2 U 0.000 0.000 0.500
Br1 Br 0.122 0.313 0.882
Br2 Br 0.637 0.220 0.998
Br3 Br 0.220 0.637 0.498
Br4 Br 0.313 0.122 0.382
Br5 Br 0.363 0.780 0.002
Br6 Br 0.687 0.878 0.618
Br7 Br 0.878 0.687 0.118
Br8 Br 0.069 0.931 0.750
Br9 Br 0.780 0.363 0.502
Br10 Br 0.931 0.069 0.250
```

Computed, not measured: K2UBr5 after structural relaxation at the PBE-GGA level of DFT.

Computed properties:
SG: Pnma

Structure (CIF):
```
data_K2UBr5
_cell_length_a 8.619
_cell_length_b 9.248
_cell_length_c 13.667
_cell_angle_alpha 90.00
_cell_angle_beta 90.00
_cell_angle_gamma 90.00
_space_group_name_H-M_alt 'P 1'
_space_group_IT_number 1
loop_
_space_group_symop_operation_xyz
'x,y,z'
loop_
_atom_site_label
_atom_site_type_symbol
_atom_site_fract_x
_atom_site_fract_y
_atom_site_fract_z
U1 U 0.429 0.250 0.997
U2 U 0.929 0.750 0.503
U3 U 0.071 0.250 0.497
U4 U 0.571 0.750 0.003
K1 K 0.947 0.004 0.829
K2 K 0.447 0.996 0.671
K3 K 0.553 0.496 0.329
K4 K 0.947 0.496 0.829
K5 K 0.447 0.504 0.671
K6 K 0.553 0.004 0.329
K7 K 0.053 0.996 0.171
K8 K 0.053 0.504 0.171
Br1 Br 0.923 0.750 0.007
Br2 Br 0.577 0.750 0.507
Br3 Br 0.335 0.957 0.921
Br4 Br 0.337 0.250 0.205
Br5 Br 0.372 0.750 0.179
Br6 Br 0.077 0.250 0.993
Br7 Br 0.423 0.250 0.493
Br8 Br 0.163 0.250 0.705
Br9 Br 0.837 0.750 0.295
Br10 Br 0.628 0.250 0.821
Br11 Br 0.872 0.250 0.321
Br12 Br 0.665 0.043 0.079
Br13 Br 0.665 0.457 0.079
Br14 Br 0.835 0.043 0.579
Br15 Br 0.165 0.543 0.421
Br16 Br 0.128 0.750 0.679
Br17 Br 0.835 0.457 0.579
Br18 Br 0.335 0.543 0.921
Br19 Br 0.165 0.957 0.421
Br20 Br 0.663 0.750 0.795
```

Computed, not measured: KU2Br11 after structural relaxation at the PBE-GGA level of DFT.

Computed properties:
SG: Ibam

Structure (CIF):
```
data_KU2Br11
_cell_length_a 13.121
_cell_length_b 11.851
_cell_length_c 11.851
_cell_angle_alpha 67.24
_cell_angle_beta 56.39
_cell_angle_gamma 56.39
_space_group_name_H-M_alt 'P 1'
_space_group_IT_number 1
loop_
_space_group_symop_operation_xyz
'x,y,z'
loop_
_atom_site_label
_atom_site_type_symbol
_atom_site_fract_x
_atom_site_fract_y
_atom_site_fract_z
Br1 Br 0.187 0.615 0.127
Br2 Br 0.302 0.709 0.291
Br3 Br 0.630 0.676 0.581
Br4 Br 0.870 0.919 0.824
Br5 Br 0.571 0.115 0.627
Br6 Br 0.929 0.873 0.385
Br7 Br 0.500 0.500 0.500
Br8 Br 0.687 0.627 0.115
Br9 Br 0.813 0.385 0.873
Br10 Br 0.198 0.209 0.791
Br11 Br 0.429 0.885 0.373
Br12 Br 0.130 0.081 0.176
Br13 Br 0.370 0.324 0.419
Br14 Br 0.613 0.176 0.081
Br15 Br 0.113 0.581 0.676
Br16 Br 0.387 0.824 0.919
Br17 Br 0.000 0.000 0.000
Br18 Br 0.313 0.373 0.885
Br19 Br 0.071 0.127 0.615
Br20 Br 0.698 0.291 0.709
Br21 Br 0.802 0.791 0.209
Br22 Br 0.887 0.419 0.324
U1 U 0.659 0.653 0.347
U2 U 0.341 0.347 0.653
U3 U 0.159 0.847 0.153
U4 U 0.841 0.153 0.847
K1 K 0.250 0.250 0.250
K2 K 0.750 0.750 0.750
```

Computed, not measured: K2UBr8 after structural relaxation at the PBE-GGA level of DFT.

Computed properties:
SG: C2/m

Structure (CIF):
```
data_K2UBr8
_cell_length_a 5.173
_cell_length_b 6.889
_cell_length_c 11.940
_cell_angle_alpha 72.72
_cell_angle_beta 102.51
_cell_angle_gamma 90.00
_space_group_name_H-M_alt 'P 1'
_space_group_IT_number 1
loop_
_space_group_symop_operation_xyz
'x,y,z'
loop_
_atom_site_label
_atom_site_type_symbol
_atom_site_fract_x
_atom_site_fract_y
_atom_site_fract_z
Br1 Br 0.390 0.290 0.780
Br2 Br 0.020 0.760 0.039
Br3 Br 0.610 0.710 0.220
Br4 Br 0.573 0.230 0.147
Br5 Br 0.980 0.240 0.961
Br6 Br 0.427 0.770 0.853
Br7 Br 0.793 0.710 0.587
Br8 Br 0.207 0.290 0.413
K1 K 0.207 0.795 0.414
K2 K 0.793 0.205 0.586
U1 U 0.500 0.000 0.000
```

Computed, not measured: K5U2Br12 after structural relaxation at the PBE-GGA level of DFT.

Computed properties:
SG: C2/m

Structure (CIF):
```
data_K5U2Br12
_cell_length_a 8.689
_cell_length_b 10.217
_cell_length_c 10.606
_cell_angle_alpha 109.88
_cell_angle_beta 90.00
_cell_angle_gamma 115.17
_space_group_name_H-M_alt 'P 1'
_space_group_IT_number 1
loop_
_space_group_symop_operation_xyz
'x,y,z'
loop_
_atom_site_label
_atom_site_type_symbol
_atom_site_fract_x
_atom_site_fract_y
_atom_site_fract_z
Br1 Br 0.582 0.683 0.943
Br2 Br 0.393 0.284 0.554
Br3 Br 0.607 0.716 0.446
Br4 Br 0.109 0.716 0.446
Br5 Br 0.418 0.317 0.057
Br6 Br 0.518 0.036 0.195
Br7 Br 0.891 0.284 0.554
Br8 Br 0.482 0.964 0.805
Br9 Br 0.101 0.683 0.943
Br10 Br 0.976 0.953 0.809
Br11 Br 0.024 0.047 0.191
Br12 Br 0.899 0.317 0.057
U1 U 0.251 0.000 0.000
U2 U 0.749 0.000 0.000
K1 K 0.277 0.553 0.589
K2 K 0.676 0.352 0.788
K3 K 0.324 0.648 0.212
K4 K 0.723 0.447 0.411
K5 K 0.000 0.000 0.500
```

Which electronic total energy belongs to each record? In order, -3.361, -4.396, -4.270, -4.287, -3.591, -4.025 eV/atom.
Which raw formation energy belongs to each record? In order, -1.49, -1.43, -1.54, -1.28, -1.15, -1.49 eV/atom.